Computed, not measured: Tb5Ho6Th2 after structural relaxation at the GGA-PBE level of DFT.

```
data_Tb5Ho6Th2
_cell_length_a 11.4603
_cell_length_b 20.6416
_cell_length_c 3.5509
_cell_angle_alpha 90.00
_cell_angle_beta 90.00
_cell_angle_gamma 90.00
_space_group_name_H-M_alt 'P b a m'
_space_group_IT_number 55
loop_
_space_group_symop_operation_xyz
'x,y,z'
'-x,-y,-z'
'-x,-y,z'
'x,y,-z'
'x+1/2,-y+1/2,-z'
'-x+1/2,y+1/2,z'
'-x+1/2,y+1/2,-z'
'x+1/2,-y+1/2,z'
loop_
_atom_site_label
_atom_site_type_symbol
_atom_site_fract_x
_atom_site_fract_y
_atom_site_fract_z
Tb1 Tb 0.0000 0.0000 0.0000
Tb2 Tb 0.0693 0.2929 0.0000
Tb3 Tb 0.1906 0.5768 0.0000
Ho1 Ho 0.0645 0.1468 0.5000
Ho2 Ho 0.0787 0.4366 0.5000
Ho3 Ho 0.1850 0.8771 0.0000
Th1 Th 0.1864 0.7345 0.5000
```

Values from the calculation:
ΔE_f ... 0.11 eV/atom